1.
VASP calculation (GGA-PBE) on Li6MgIn2 after structural relaxation.

Results
For the formation energy, the calculation gives -0.1460 eV per atom. As for the energy above the most stable polymorph in this dataset: 39 meV/atom.

Cell and atoms, written as CIF:
```
data_Li6MgIn2
_chemical_formula_sum 'Li12 Mg2 In4'
_space_group_name_H-M_alt 'I m m m'
_space_group_IT_number 71
_space_group_name_Hall '-I 2 2'
_cell_length_a 4.8810
_cell_length_b 5.4920
_cell_length_c 13.0955
_cell_angle_alpha 90.00
_cell_angle_beta 90.00
_cell_angle_gamma 90.00
loop_
_atom_site_label
_atom_site_type_symbol
_atom_site_fract_x
_atom_site_fract_y
_atom_site_fract_z
Li1 Li 0.0000 0.0000 0.2203
Li2 Li 0.0000 0.2600 0.3960
Mg1 Mg 0.0000 0.0000 0.0000
In1 In 0.0000 0.5000 0.1320
```


2.
VASP calculation (GGA-PBE) on Ac3GaPd2 after structural relaxation.

Results
For the formation energy, the calculation gives -0.5901 eV per atom.

Cell and atoms, written as CIF:
```
data_Ac3GaPd2
_chemical_formula_sum 'Ac18 Ga6 Pd12'
_space_group_name_H-M_alt 'R -3 c'
_space_group_IT_number 167
_space_group_name_Hall '-R 3 2"c'
_cell_length_a 8.2418
_cell_length_b 8.2418
_cell_length_c 19.3575
_cell_angle_alpha 90.00
_cell_angle_beta 90.00
_cell_angle_gamma 120.00
loop_
_atom_site_label
_atom_site_type_symbol
_atom_site_fract_x
_atom_site_fract_y
_atom_site_fract_z
Ac1 Ac 0.0000 0.2920 0.2500
Ga1 Ga 0.0000 0.0000 0.0000
Pd1 Pd 0.0000 0.0000 0.1395
```


3.
VASP calculation (GGA-PBE) on Sn3SbAs after structural relaxation.

Results
As for the energy above the most stable polymorph in this dataset: 610 meV/atom.

Cell and atoms, written as CIF:
```
data_Sn3SbAs
_chemical_formula_sum 'Sn3 Sb1 As1'
_space_group_name_H-M_alt 'P m -3 m'
_space_group_IT_number 221
_space_group_name_Hall '-P 4 2 3'
_cell_length_a 5.6947
_cell_length_b 5.6947
_cell_length_c 5.6947
_cell_angle_alpha 90.00
_cell_angle_beta 90.00
_cell_angle_gamma 90.00
loop_
_atom_site_label
_atom_site_type_symbol
_atom_site_fract_x
_atom_site_fract_y
_atom_site_fract_z
Sn1 Sn 0.0000 0.0000 0.5000
Sb1 Sb 0.0000 0.0000 0.0000
As1 As 0.5000 0.5000 0.5000
```


Number 1: D(E_F) 5.50 states/eV/cell. Number 2: D(E_F) 40.43 states/eV/cell. Number 3: D(E_F) 2.44 states/eV/cell.